## BeHg2Pd (PBE-GGA)

Data for a relaxed BeHg2Pd crystal.

Cell lengths 4.5966, 4.5966, 4.5966 Å; angles 60.00, 60.00, 60.00 degrees
Closest atoms and distances in Å follow each position.
Fractional coordinates of all 4 atoms:
Be  0.0000  0.0000  0.0000  4 Hg 2.81, 4 Pd 2.81
Hg  0.5000  0.5000  0.5000  4 Hg 2.81, 4 Pd 2.81
Hg  0.7500  0.7500  0.7500  4 Hg 2.81, 4 Be 2.81
Pd  0.2500  0.2500  0.2500  4 Hg 2.81, 4 Be 2.81

symmetry	F-43m, No. 216
volume	17.168	Å³ per atom
DFT total energy	-2.128	eV per atom


## BeSiHgPd (PBE-GGA)

Data for a relaxed BeSiHgPd crystal.

Cell lengths 4.4577, 4.4577, 4.4577 Å; angles 60.00, 60.00, 60.00 degrees
Closest atoms and distances in Å follow each position.
Fractional coordinates of all 4 atoms:
Be  0.0000  0.0000  0.0000  4 Si 2.73, 4 Hg 2.73
Si  0.7500  0.7500  0.7500  4 Be 2.73, 4 Pd 2.73
Hg  0.2500  0.2500  0.2500  4 Be 2.73, 4 Pd 2.73
Pd  0.5000  0.5000  0.5000  4 Hg 2.73, 4 Si 2.73

symmetry	F-43m, No. 216
E above lowest polymorph	0.32	eV/f.u.
volume	15.658	Å³ per atom


## BeSiHgPd (PBE-GGA)

Data for a relaxed BeSiHgPd crystal.

Cell lengths 4.4079, 4.4079, 4.4079 Å; angles 60.00, 60.00, 60.00 degrees
Closest atoms and distances in Å follow each position.
Fractional coordinates of all 4 atoms:
Be  0.0000  0.0000  0.0000  4 Hg 2.70, 4 Pd 2.70
Si  0.5000  0.5000  0.5000  4 Hg 2.70, 4 Pd 2.70
Hg  0.7500  0.7500  0.7500  4 Be 2.70, 4 Si 2.70
Pd  0.2500  0.2500  0.2500  4 Be 2.70, 4 Si 2.70

symmetry	F-43m, No. 216
E above lowest polymorph	0.00	eV/f.u.
volume	15.140	Å³ per atom


## PmBeHg (PBE-GGA)

Data for a relaxed PmBeHg crystal.

Cell lengths 4.7480, 4.7480, 4.7480 Å; angles 60.00, 60.00, 60.00 degrees
Closest atoms and distances in Å follow each position.
Fractional coordinates of all 3 atoms:
Pm  0.0000  0.0000  0.0000  4 Hg 2.91
Be  0.5000  0.5000  0.5000  4 Hg 2.91
Hg  0.7500  0.7500  0.7500  4 Be 2.91, 4 Pm 2.91

symmetry	F-43m, No. 216
E above lowest polymorph	0.00	eV/f.u.
volume	25.229	Å³ per atom